Compound: CrGe2F
Source: Alexandria
Functional: GGA+U
Structure: relaxed

```
CrGe2F
1.0
0.0000 3.1872 3.1872
3.1872 0.0000 3.1872
3.1872 3.1872 0.0000
Cr Ge F
1 2 1
direct
0.5000 0.5000 0.5000
0.7500 0.7500 0.7500
0.2500 0.2500 0.2500
0.0000 0.0000 0.0000
```

Crystal system   cubic
Offset from the most stable computed form   63.2 kJ/mol of formula units
Total magnetic moment   4.24 μB per cell
DFT total energy   -4.790 eV per atom